Entry i
Here is SrGe2Pd6 after structural relaxation from Alexandria. Energies are from PBE.

## Properties
Magnetic moment (μB/cell): 0.0
Space group: Immm

a = 3.9790 Å, b = 6.8298 Å, c = 6.8298 Å
α = 85.19°, β = 73.09°, γ = 73.09°
Last column: nearest neighbours and their distance in Å.
Fractional positions:
Pd  0.5000  0.2841  0.7159  2 Ge 2.49
Pd  0.2204  0.4327  0.1270  2 Ge 2.50, 2 Pd 2.73-2.74
Pd  0.5000  0.7159  0.2841  2 Ge 2.49
Pd  0.7796  0.8730  0.5673  2 Ge 2.50, 2 Pd 2.73-2.74
Pd  0.2204  0.1270  0.4327  2 Ge 2.50, 2 Pd 2.73-2.74
Pd  0.7796  0.5673  0.8730  2 Ge 2.50, 2 Pd 2.73-2.74
Ge  0.3379  0.6616  0.6616  6 Pd 2.49-2.50
Ge  0.6621  0.3384  0.3384  6 Pd 2.49-2.50
Sr  0.0000  0.0000  0.0000  2 Ge 3.13, 4 Pd 3.29

Entry ii
Here is SrGe2Pd6 after structural relaxation from Alexandria. Energies are from PBE.

## Properties
Magnetic moment (μB/cell): 0.0
Space group: P6/mmm

a = 5.7628 Å, b = 5.7628 Å, c = 6.3726 Å
α = 90.00°, β = 90.00°, γ = 120.00°
Last column: nearest neighbours and their distance in Å.
Fractional positions:
Pd  0.4999  0.4999  0.7852  2 Ge 2.46, 1 Pd 2.74
Pd  0.0000  0.4999  0.2148  2 Ge 2.46, 1 Pd 2.74
Pd  0.5001  0.5001  0.2148  2 Ge 2.46, 1 Pd 2.74
Pd  0.4999  0.0000  0.2148  2 Ge 2.46, 1 Pd 2.74
Pd  0.5001  0.0000  0.7852  2 Ge 2.46, 1 Pd 2.74
Pd  0.0000  0.5001  0.7852  2 Ge 2.46, 1 Pd 2.74
Sr  0.0000  0.0000  0.0000  12 Pd 3.19
Ge  0.6667  0.3333  0.5000  6 Pd 2.46
Ge  0.3333  0.6667  0.5000  6 Pd 2.46

On energetic grounds, entry ii is preferred over the next structure by 6 meV per atom.

Entry i
Here is Tb3Ge4Pd2 after structural relaxation from Alexandria. Energies are from PBE.

## Properties
Magnetic moment (μB/cell): 0.0
Space group: C2/m

a = 4.3343 Å, b = 5.8294 Å, c = 8.3199 Å
α = 104.09°, β = 90.00°, γ = 111.82°
Last column: nearest neighbours and their distance in Å.
Fractional positions:
Pd  0.6045  0.2091  0.2754  3 Ge 2.45-2.47
Pd  0.3955  0.7909  0.7246  3 Ge 2.45-2.47
Tb  0.3356  0.6713  0.3364  4 Pd 3.08-3.25, 8 Ge 3.11-3.25
Tb  0.6644  0.3287  0.6636  4 Pd 3.08-3.25, 8 Ge 3.11-3.25
Tb  0.0000  0.0000  0.0000  8 Ge 3.13-3.23, 4 Pd 3.14
Ge  0.2709  0.5418  0.9320  1 Pd 2.45, 2 Ge 2.54
Ge  0.9391  0.8783  0.6082  2 Pd 2.47, 1 Ge 2.49
Ge  0.0609  0.1217  0.3918  2 Pd 2.47, 1 Ge 2.49
Ge  0.7291  0.4582  0.0680  1 Pd 2.45, 2 Ge 2.54

Entry ii
Here is Tb3Ge4Pd2 after structural relaxation from Alexandria. Energies are from PBE.

## Properties
Magnetic moment (μB/cell): 0.0
Space group: C2/m

a = 4.2948 Å, b = 5.8234 Å, c = 8.3248 Å
α = 106.66°, β = 90.00°, γ = 111.64°
Last column: nearest neighbours and their distance in Å.
Fractional positions:
Tb  0.6287  0.2574  0.6946  7 Ge 2.93-3.18, 3 Pd 3.04-3.06
Tb  0.3713  0.7426  0.3054  7 Ge 2.93-3.18, 3 Pd 3.04-3.06
Tb  0.0000  0.0000  0.0000  8 Ge 3.04-3.37
Ge  0.7078  0.4157  0.0646  1 Pd 2.54, 2 Ge 2.68
Ge  0.2922  0.5843  0.9354  1 Pd 2.54, 2 Ge 2.68
Ge  0.0764  0.1528  0.3991  3 Pd 2.53-2.73, 1 Ge 2.70
Ge  0.9236  0.8472  0.6009  3 Pd 2.53-2.73, 1 Ge 2.70
Pd  0.6867  0.3734  0.3597  4 Ge 2.53-2.73
Pd  0.3133  0.6266  0.6403  4 Ge 2.53-2.73

On energetic grounds, entry ii is preferred over the next structure by 13 meV per atom.

Entry i
Here is Tb2Ge3Pd2 after structural relaxation from Alexandria. Energies are from PBE.

## Properties
Magnetic moment (μB/cell): 0.0
Space group: C2/m

a = 4.2980 Å, b = 5.5791 Å, c = 6.6529 Å
α = 109.70°, β = 90.00°, γ = 112.66°
Last column: nearest neighbours and their distance in Å.
Fractional positions:
Pd  0.1445  0.2890  0.2492  5 Ge 2.61-2.79
Pd  0.8555  0.7110  0.7508  5 Ge 2.61-2.79
Tb  0.8491  0.6983  0.2184  4 Pd 2.97-3.14, 4 Ge 3.01-3.29
Tb  0.1509  0.3017  0.7816  4 Pd 2.97-3.14, 4 Ge 3.01-3.29
Ge  0.6086  0.2173  0.4460  2 Ge 2.59-2.76, 3 Pd 2.61
Ge  0.3914  0.7827  0.5540  2 Ge 2.59-2.76, 3 Pd 2.61
Ge  0.5000  0.0000  0.0000  2 Ge 2.76, 4 Pd 2.79

Entry ii
Here is Tb2Ge3Pd2 after structural relaxation from Alexandria. Energies are from PBE.

## Properties
Magnetic moment (μB/cell): 0.0
Space group: Cmcm

a = 4.2287 Å, b = 7.0546 Å, c = 9.4072 Å
α = 90.00°, β = 102.99°, γ = 90.00°
Last column: nearest neighbours and their distance in Å.
Fractional positions:
Tb  0.0533  0.7500  0.1066  9 Ge 3.08-3.27
Tb  0.8444  0.7500  0.6887  6 Ge 3.01-3.08, 6 Pd 3.07-3.09
Tb  0.9467  0.2500  0.8934  9 Ge 3.08-3.27
Tb  0.1556  0.2500  0.3113  6 Ge 3.01-3.08, 6 Pd 3.07-3.09
Ge  0.7775  0.2500  0.5549  6 Pd 2.60
Ge  0.4372  0.5662  0.8744  2 Ge 2.48-2.59, 1 Pd 2.55
Ge  0.5628  0.0662  0.1256  2 Ge 2.48-2.59, 1 Pd 2.55
Ge  0.4372  0.9338  0.8744  2 Ge 2.48-2.59, 1 Pd 2.55
Ge  0.5628  0.4338  0.1256  2 Ge 2.48-2.59, 1 Pd 2.55
Ge  0.2225  0.7500  0.4451  6 Pd 2.60
Pd  0.3054  0.0485  0.6109  4 Ge 2.55-2.60, 1 Pd 2.84
Pd  0.6946  0.5485  0.3891  4 Ge 2.55-2.60, 1 Pd 2.84
Pd  0.6946  0.9515  0.3891  4 Ge 2.55-2.60, 1 Pd 2.84
Pd  0.3054  0.4515  0.6109  4 Ge 2.55-2.60, 1 Pd 2.84

On energetic grounds, entry ii is preferred over the next structure by 131 meV per atom.